## Ho3Sc3FeSb2 (GGA-PBE)

Data for a relaxed Ho3Sc3FeSb2 crystal.

As for the calculated total energy: -54.9 eV per formula unit. The total moment is 0.5 μB per formula unit.

The space group is P-62m (No. 189) and the conventional cell measures 7.8290, 7.8290 and 4.0862 Å, with angles of 90.00, 90.00 and 120.00 degrees. The inequivalent atoms are Ho at (0.0000, 0.6081, 0.0000), Sc at (0.0000, 0.2255, 0.5000), Fe at (0.0000, 0.0000, 0.0000) and Sb at (0.3333, 0.6667, 0.5000).